(1)
This record from Alexandria via LeMat-Bulk describes an optimized crystal structure of Dy2ErGa3. The functional is PBE-GGA.

Computed properties:
Symmetry: Cmcm, No. 63
V: 24.315 Å³ per atom
Energy above the lowest structure with this stoichiometry: 0.488 eV/f.u.
Crystal system: orthorhombic
Formation enthalpy at 0 K: -0.50 eV/atom
Total moment: 0.00 μB per cell

Cell and atoms, written as CIF:
```
data_Dy2ErGa3
_chemical_formula_sum 'Dy4 Er2 Ga6'
_symmetry_space_group_name_H-M 'P 1'
_symmetry_Int_Tables_number 1
_symmetry_space_group_name_Hall 'P 1'
_cell_length_a 4.533
_cell_length_b 6.184
_cell_length_c 10.652
_cell_angle_alpha 90.00
_cell_angle_beta 102.29
_cell_angle_gamma 90.00
loop_
_atom_site_label
_atom_site_type_symbol
_atom_site_fract_x
_atom_site_fract_y
_atom_site_fract_z
Dy1 Dy 0.143 0.750 0.286
Dy2 Dy 0.857 0.250 0.714
Dy3 Dy 0.966 0.750 0.933
Dy4 Dy 0.034 0.250 0.067
Er1 Er 0.324 0.750 0.648
Er2 Er 0.676 0.250 0.352
Ga1 Ga 0.437 0.456 0.875
Ga2 Ga 0.563 0.544 0.125
Ga3 Ga 0.437 0.044 0.875
Ga4 Ga 0.563 0.956 0.125
Ga5 Ga 0.738 0.750 0.476
Ga6 Ga 0.262 0.250 0.524
```



(2)
This record from Alexandria via LeMat-Bulk describes an optimized crystal structure of KBaMnI5. The functional is PBE-GGA.

Computed properties:
Formation energy from raw total energies: -1.18 eV per atom
Symmetry: C2/c, No. 15
V: 52.148 Å³ per atom
Crystal system: monoclinic
Total moment: 9.99 μB per cell

Cell and atoms, written as CIF:
```
data_KBaMnI5
_chemical_formula_sum 'K2 Ba2 Mn2 I10'
_symmetry_space_group_name_H-M 'P 1'
_symmetry_Int_Tables_number 1
_symmetry_space_group_name_Hall 'P 1'
_cell_length_a 8.832
_cell_length_b 8.832
_cell_length_c 12.047
_cell_angle_alpha 103.97
_cell_angle_beta 103.97
_cell_angle_gamma 104.83
loop_
_atom_site_label
_atom_site_type_symbol
_atom_site_fract_x
_atom_site_fract_y
_atom_site_fract_z
K1 K 0.359 0.641 0.250
K2 K 0.641 0.359 0.750
Ba1 Ba 0.000 0.000 0.500
Ba2 Ba 0.000 0.000 0.000
Mn1 Mn 0.681 0.319 0.250
Mn2 Mn 0.319 0.681 0.750
I1 I 0.111 0.889 0.250
I2 I 0.889 0.111 0.750
I3 I 0.931 0.351 0.156
I4 I 0.069 0.649 0.844
I5 I 0.649 0.069 0.344
I6 I 0.351 0.931 0.656
I7 I 0.724 0.595 0.431
I8 I 0.276 0.405 0.569
I9 I 0.405 0.276 0.069
I10 I 0.595 0.724 0.931
```



(3)
This record from Alexandria via LeMat-Bulk describes an optimized crystal structure of Cd2In2Sn5. The functional is PBE-GGA.

Computed properties:
Symmetry: P-1, No. 2
V: 26.767 Å³ per atom
Crystal system: triclinic
Formation enthalpy at 0 K: 0.05 eV/atom
Total moment: 0.00 μB per cell

Cell and atoms, written as CIF:
```
data_Cd2In2Sn5
_chemical_formula_sum 'Cd2 In2 Sn5'
_symmetry_space_group_name_H-M 'P 1'
_symmetry_Int_Tables_number 1
_symmetry_space_group_name_Hall 'P 1'
_cell_length_a 4.865
_cell_length_b 11.967
_cell_length_c 6.261
_cell_angle_alpha 71.93
_cell_angle_beta 62.92
_cell_angle_gamma 112.81
loop_
_atom_site_label
_atom_site_type_symbol
_atom_site_fract_x
_atom_site_fract_y
_atom_site_fract_z
Cd1 Cd 0.210 0.775 0.119
Cd2 Cd 0.790 0.225 0.881
In1 In 0.659 0.334 0.337
In2 In 0.341 0.666 0.663
Sn1 Sn 0.549 0.435 0.793
Sn2 Sn 0.451 0.565 0.207
Sn3 Sn 0.123 0.894 0.545
Sn4 Sn 0.877 0.106 0.455
Sn5 Sn 0.000 0.000 0.000
```



(4)
This record from Alexandria via LeMat-Bulk describes an optimized crystal structure of I. The functional is PBE-GGA.

Computed properties:
Formation energy from raw total energies: 0.02 eV per atom
Symmetry: Pmmn, No. 59
V: 63.986 Å³ per atom
Energy above the lowest structure with this stoichiometry: 0.020 eV/f.u.
Crystal system: orthorhombic
Total moment: 0.00 μB per cell

Cell and atoms, written as CIF:
```
data_I
_chemical_formula_sum 'I12'
_symmetry_space_group_name_H-M 'P 1'
_symmetry_Int_Tables_number 1
_symmetry_space_group_name_Hall 'P 1'
_cell_length_a 13.576
_cell_length_b 6.420
_cell_length_c 8.810
_cell_angle_alpha 90.00
_cell_angle_beta 90.00
_cell_angle_gamma 90.00
loop_
_atom_site_label
_atom_site_type_symbol
_atom_site_fract_x
_atom_site_fract_y
_atom_site_fract_z
I1 I 0.843 0.331 0.000
I2 I 0.343 0.669 0.500
I3 I 0.657 0.669 0.500
I4 I 0.157 0.331 0.000
I5 I 0.000 0.978 0.500
I6 I 0.500 0.022 0.000
I7 I 0.286 0.968 0.000
I8 I 0.786 0.032 0.500
I9 I 0.214 0.032 0.500
I10 I 0.714 0.968 0.000
I11 I 0.000 0.650 0.000
I12 I 0.500 0.350 0.500
```



(5)
This record from Alexandria via LeMat-Bulk describes an optimized crystal structure of AlSbTe2Ir. The functional is PBE-GGA.

Computed properties:
Formation energy from raw total energies: 0.54 eV per atom
Symmetry: P4/mmm, No. 123
V: 29.867 Å³ per atom
Energy above the lowest structure with this stoichiometry: 0.000 eV/f.u.
Crystal system: tetragonal
Total moment: 0.00 μB per cell

Cell and atoms, written as CIF:
```
data_AlSbTe2Ir
_chemical_formula_sum 'Al1 Sb1 Te2 Ir1'
_symmetry_space_group_name_H-M 'P 1'
_symmetry_Int_Tables_number 1
_symmetry_space_group_name_Hall 'P 1'
_cell_length_a 5.500
_cell_length_b 5.500
_cell_length_c 4.937
_cell_angle_alpha 90.00
_cell_angle_beta 90.00
_cell_angle_gamma 90.00
loop_
_atom_site_label
_atom_site_type_symbol
_atom_site_fract_x
_atom_site_fract_y
_atom_site_fract_z
Sb1 Sb 0.000 0.000 0.500
Ir1 Ir 0.000 0.000 0.000
Te1 Te 0.000 0.500 0.000
Te2 Te 0.500 0.000 0.000
Al1 Al 0.500 0.500 0.500
```



(6)
This record from Alexandria via LeMat-Bulk describes an optimized crystal structure of Be2IrCl. The functional is PBE-GGA.

Computed properties:
Formation energy from raw total energies: 0.34 eV per atom
Symmetry: I-4m2, No. 119
V: 13.802 Å³ per atom
Energy above the lowest structure with this stoichiometry: 2.983 eV/f.u.
Crystal system: tetragonal
Total moment: 0.00 μB per cell

Cell and atoms, written as CIF:
```
data_Be2IrCl
_chemical_formula_sum 'Be2 Ir1 Cl1'
_symmetry_space_group_name_H-M 'P 1'
_symmetry_Int_Tables_number 1
_symmetry_space_group_name_Hall 'P 1'
_cell_length_a 6.046
_cell_length_b 6.046
_cell_length_c 6.046
_cell_angle_alpha 149.97
_cell_angle_beta 149.97
_cell_angle_gamma 42.99
loop_
_atom_site_label
_atom_site_type_symbol
_atom_site_fract_x
_atom_site_fract_y
_atom_site_fract_z
Be1 Be 0.000 0.000 0.000
Be2 Be 0.250 0.750 0.500
Ir1 Ir 0.750 0.250 0.500
Cl1 Cl 0.500 0.500 0.000
```



- What is the V in the second record?
  52.148 Å³ per atom



- V of number 4 (I)?
  63.986 Å³ per atom



- Among the records above, which one has the highest V?
  I



- Among the records above, which one has the highest total moment?
  KBaMnI5